No. 1
4
Lattice="-1.376 3.329 9.125 1.589 1.398 9.579 1.810 4.754 8.388" Properties=species:S:1:pos:R:3 comment="La2CrIn (PBE-GGA, optimized geometry)" total_magnetization_mub_per_cell=0.0 dft_energy_ev_per_atom=-5.09 pbc="T T T"
Cr 1.019 4.775 13.644
In 0.471 2.206 6.302
La 2.010 9.421 26.918
La 1.558 7.302 20.864



No. 2
6
Lattice="0.000 4.283 4.283 4.283 0.000 4.283 4.283 4.283 0.000" Properties=species:S:1:pos:R:3 comment="LaCrIn4 (PBE-GGA, optimized geometry)" total_magnetization_mub_per_cell=4.0 dft_energy_ev_per_atom=-4.15 pbc="T T T"
La 6.425 6.425 6.425
Cr 0.000 0.000 0.000
In 3.211 5.355 5.355
In 5.355 5.355 3.211
In 5.355 3.211 5.355
In 3.211 3.211 3.211



No. 3
4
Lattice="-2.180 1.603 -4.396 4.159 -1.556 -2.633 -1.804 -3.918 -0.534" Properties=species:S:1:pos:R:3 comment="La2CrIn (PBE-GGA, optimized geometry)" total_magnetization_mub_per_cell=3.9 dft_energy_ev_per_atom=-5.56 pbc="T T T"
Cr -1.992 -1.157 -2.465
In 1.177 -2.737 -1.584
La 0.000 0.000 0.000
La 0.989 0.024 -3.515



No. 4
3
Lattice="6.495 -0.032 0.000 4.560 4.625 0.000 -5.528 -2.296 2.521" Properties=species:S:1:pos:R:3 comment="LaCrIn (PBE-GGA, optimized geometry)" total_magnetization_mub_per_cell=3.8 dft_energy_ev_per_atom=-5.63 pbc="T T T"
Cr 10.840 4.503 0.000
In 3.983 1.655 0.000
La 7.289 3.028 0.000



No. 5
5
Lattice="4.877 0.000 0.000 0.000 4.877 0.000 0.000 0.000 4.877" Properties=species:S:1:pos:R:3 comment="LaCr3In (PBE-GGA, optimized geometry)" e_above_lowest_polymorph_kj_per_mol_fu=0 total_magnetization_mub_per_cell=0.5 dft_energy_ev_per_atom=-5.52 pbc="T T T"
Cr 0.000 2.439 0.000
Cr 0.000 0.000 2.439
Cr 2.439 0.000 0.000
In 0.000 0.000 0.000
La 2.439 2.439 2.439



No. 6
3
Lattice="-3.279 0.437 1.161 2.442 -1.361 2.116 1.746 6.812 2.365" Properties=species:S:1:pos:R:3 comment="LaCrIn (PBE-GGA, optimized geometry)" total_magnetization_mub_per_cell=3.8 dft_energy_ev_per_atom=-5.36 pbc="T T T"
Cr 0.039 0.154 0.053
In -0.844 1.898 2.195
La 1.714 3.837 3.395



No. 7
4
Lattice="-2.391 5.471 1.130 -5.549 0.558 2.414 5.708 -2.035 0.455" Properties=species:S:1:pos:R:3 comment="LaCr2In (PBE-GGA, optimized geometry)" total_magnetization_mub_per_cell=0.8 dft_energy_ev_per_atom=-6.37 pbc="T T T"
Cr -7.572 5.750 3.379
Cr -0.504 3.359 1.757
In -4.217 3.202 1.882
La -1.851 0.727 2.296



No. 8
5
Lattice="-3.706 1.544 -2.152 -1.938 -4.103 0.393 -1.805 1.236 3.995" Properties=species:S:1:pos:R:3 comment="LaCr3In (PBE-GGA, optimized geometry)" e_above_lowest_polymorph_kj_per_mol_fu=73 total_magnetization_mub_per_cell=0.0 dft_energy_ev_per_atom=-5.37 pbc="T T T"
Cr -0.969 -2.052 0.197
Cr -0.903 0.618 1.998
Cr -1.853 0.772 -1.076
In -3.725 -0.662 1.118
La 0.000 0.000 0.000



No. 9
4
Lattice="-4.191 2.690 4.085 -6.034 -0.134 2.249 -0.564 -2.610 4.581" Properties=species:S:1:pos:R:3 comment="La2CrIn (PBE-GGA, optimized geometry)" total_magnetization_mub_per_cell=3.7 dft_energy_ev_per_atom=-5.53 pbc="T T T"
Cr -5.619 0.094 5.497
In -2.334 -0.208 2.664
La -10.112 2.497 6.313
La -8.342 0.093 8.233



No. 10
4
Lattice="-3.326 3.713 0.430 -1.832 -1.946 2.629 2.782 1.849 5.551" Properties=species:S:1:pos:R:3 comment="La2CrIn (PBE-GGA, optimized geometry)" total_magnetization_mub_per_cell=3.6 dft_energy_ev_per_atom=-5.54 pbc="T T T"
Cr 0.130 -0.408 4.532
In -0.600 2.149 5.907
La 0.768 -0.212 7.764
La -1.248 1.943 2.677



No. 11
4
Lattice="4.648 0.000 0.000 0.000 4.643 0.000 0.000 0.000 4.158" Properties=species:S:1:pos:R:3 comment="LaCr2In (PBE-GGA, optimized geometry)" total_magnetization_mub_per_cell=0.0 dft_energy_ev_per_atom=-6.37 pbc="T T T"
Cr 0.000 0.000 0.000
Cr 2.324 2.322 0.000
In 2.324 0.000 2.079
La 0.000 2.322 2.079



No. 12
6
Lattice="5.220 -3.646 -1.321 -0.739 -5.923 -2.580 1.723 -1.095 -6.174" Properties=species:S:1:pos:R:3 comment="La4CrIn (PBE-GGA, optimized geometry)" total_magnetization_mub_per_cell=4.7 dft_energy_ev_per_atom=-4.89 pbc="T T T"
La 4.950 -5.825 -4.434
La 3.189 -4.541 -6.878
La 1.948 -6.972 -5.068
La 2.321 -3.989 -3.769
Cr 4.653 -7.998 -7.556
In 0.000 0.000 0.000



No. 13
3
Lattice="-3.480 0.864 -3.459 1.546 -4.656 0.870 -2.644 -0.399 2.560" Properties=species:S:1:pos:R:3 comment="LaCrIn (PBE-GGA, optimized geometry)" total_magnetization_mub_per_cell=4.2 dft_energy_ev_per_atom=-5.74 pbc="T T T"
Cr -0.440 -0.066 0.426
In -0.571 -2.882 -0.146
La -3.568 -1.242 -0.309



No. 14
8
Lattice="-6.276 4.159 0.197 -1.497 -1.921 -7.127 -5.419 -1.239 -2.507" Properties=species:S:1:pos:R:3 comment="LaCr2In (PBE-GGA, optimized geometry)" total_magnetization_mub_per_cell=0.0 dft_energy_ev_per_atom=-5.50 pbc="T T T"
Cr -5.334 1.964 -1.398
Cr -3.205 -0.904 -5.052
Cr -7.010 -0.129 -4.626
Cr -10.834 1.069 -7.796
In -3.886 1.119 -3.465
In -5.401 -1.020 -6.549
La 0.000 0.000 0.000
La -7.790 2.020 -2.887



No. 15
3
Lattice="4.920 0.000 0.000 2.460 4.261 0.000 2.460 1.420 4.017" Properties=species:S:1:pos:R:3 comment="LaCrIn (PBE-GGA, optimized geometry)" total_magnetization_mub_per_cell=4.1 dft_energy_ev_per_atom=-5.59 pbc="T T T"
Cr 2.460 1.420 1.004
In 0.000 0.000 0.000
La 4.920 2.840 2.008



No. 16
4
Lattice="3.197 0.000 0.000 0.000 3.190 0.018 0.000 3.147 7.975" Properties=species:S:1:pos:R:3 comment="LaCr2In (PBE-GGA, optimized geometry)" total_magnetization_mub_per_cell=0.2 dft_energy_ev_per_atom=-6.58 pbc="T T T"
Cr 0.000 3.186 0.618
Cr 1.598 1.585 1.629
In 0.000 3.171 3.558
La 1.598 4.754 6.203



No. 17
4
Lattice="-2.573 0.872 -2.292 1.995 -1.187 -2.691 -3.560 -8.076 0.923" Properties=species:S:1:pos:R:3 comment="La2CrIn (PBE-GGA, optimized geometry)" total_magnetization_mub_per_cell=3.4 dft_energy_ev_per_atom=-5.44 pbc="T T T"
Cr -1.894 -4.296 0.491
In -2.777 -5.802 -1.847
La -3.433 -7.788 0.890
La -1.374 -2.619 -2.211



No. 18
4
Lattice="9.934 -0.103 -0.061 9.245 3.635 -0.061 9.245 1.703 3.212" Properties=species:S:1:pos:R:3 comment="La2CrIn (PBE-GGA, optimized geometry)" total_magnetization_mub_per_cell=3.4 dft_energy_ev_per_atom=-5.34 pbc="T T T"
Cr 21.318 3.926 2.318
In 7.106 1.309 0.773
La 0.264 0.049 0.029
La 13.948 2.569 1.517



No. 19
4
Lattice="-2.802 0.108 -1.992 1.996 -0.325 -2.825 1.405 -7.691 -2.399" Properties=species:S:1:pos:R:3 comment="LaCr2In (PBE-GGA, optimized geometry)" total_magnetization_mub_per_cell=7.1 dft_energy_ev_per_atom=-6.27 pbc="T T T"
Cr 1.972 -0.617 -2.808
Cr -1.078 -3.608 -4.621
In -0.551 -1.950 -2.302
La 1.149 -5.958 -4.914



No. 20
5
Lattice="5.305 0.000 0.000 0.000 5.305 0.000 0.000 0.000 5.305" Properties=species:S:1:pos:R:3 comment="La3CrIn (PBE-GGA, optimized geometry)" e_above_lowest_polymorph_kj_per_mol_fu=0 total_magnetization_mub_per_cell=0.0 dft_energy_ev_per_atom=-5.36 pbc="T T T"
Cr 0.000 0.000 0.000
In 2.653 2.653 2.653
La 0.000 2.653 0.000
La 0.000 0.000 2.653
La 2.653 0.000 0.000